P) ThGe3Ir2: optimized geometry, PBE. Values from VASP.

```
&SYSTEM
  ibrav = 0, nat = 12, ntyp = 3
/
ATOMIC_SPECIES
Th 232.04 Th.upf
Ge 72.64 Ge.upf
Ir 192.22 Ir.upf
CELL_PARAMETERS angstrom
4.878 -4.028 0.000
4.878 4.028 0.000
0.000 0.000 5.738
ATOMIC_POSITIONS angstrom
Th 4.878 2.681 4.303
Th 4.878 -2.681 1.434
Ge 3.216 2.167 1.434
Ge 6.539 2.167 1.434
Ge 4.878 0.230 1.434
Ge 4.878 -0.230 4.303
Ge 3.216 -2.167 4.303
Ge 6.539 -2.167 4.303
Ir 2.493 0.000 0.000
Ir 2.493 0.000 2.869
Ir 7.262 0.000 0.000
Ir 7.262 0.000 2.869
```

Q) ThGe3Ir2: optimized geometry, PBE. Values from VASP.

```
&SYSTEM
  ibrav = 0, nat = 12, ntyp = 3
/
ATOMIC_SPECIES
Th 232.04 Th.upf
Ge 72.64 Ge.upf
Ir 192.22 Ir.upf
CELL_PARAMETERS angstrom
8.066 -2.077 0.000
8.066 2.077 0.000
-3.724 0.000 6.811
ATOMIC_POSITIONS angstrom
Th 1.588 0.000 1.137
Th 10.821 0.000 5.674
Ge -2.063 0.000 4.602
Ge 4.833 0.000 0.724
Ge 3.751 0.000 3.492
Ge 8.658 0.000 3.318
Ge 7.575 0.000 6.087
Ge 14.472 0.000 2.209
Ir 0.553 0.000 4.870
Ir 7.364 0.000 1.177
Ir 5.045 0.000 5.634
Ir 11.856 0.000 1.941
```

Which is most stable, and by how much? Q), by 164 meV/atom.

P) Ti3GeIr: optimized geometry, PBE. Values from VASP.

```
&SYSTEM
  ibrav = 0, nat = 5, ntyp = 3
/
ATOMIC_SPECIES
Ti 47.87 Ti.upf
Ge 72.64 Ge.upf
Ir 192.22 Ir.upf
CELL_PARAMETERS angstrom
4.585 0.000 0.000
0.000 4.585 0.000
0.000 0.000 4.585
ATOMIC_POSITIONS angstrom
Ti 0.000 0.000 2.293
Ti 0.000 2.293 0.000
Ti 2.293 0.000 0.000
Ge 0.000 0.000 0.000
Ir 2.293 2.293 2.293
```

Q) Ti3GeIr: optimized geometry, PBE. Values from VASP.

```
&SYSTEM
  ibrav = 0, nat = 5, ntyp = 3
/
ATOMIC_SPECIES
Ti 47.87 Ti.upf
Ge 72.64 Ge.upf
Ir 192.22 Ir.upf
CELL_PARAMETERS angstrom
4.737 0.000 0.000
0.000 4.737 0.000
0.000 0.000 4.737
ATOMIC_POSITIONS angstrom
Ti 0.000 0.000 2.368
Ti 0.000 2.368 0.000
Ti 2.368 0.000 0.000
Ge 2.368 2.368 2.368
Ir 0.000 0.000 0.000
```

R) Ti3GeIr: optimized geometry, PBE. Values from VASP.

```
&SYSTEM
  ibrav = 0, nat = 20, ntyp = 3
/
ATOMIC_SPECIES
Ti 47.87 Ti.upf
Ge 72.64 Ge.upf
Ir 192.22 Ir.upf
CELL_PARAMETERS angstrom
4.770 -2.542 0.000
4.770 2.542 0.000
-4.553 0.000 13.481
ATOMIC_POSITIONS angstrom
Ti -2.289 0.647 12.311
Ti 0.536 0.006 1.259
Ti -1.740 -0.006 7.999
Ti 2.135 0.235 3.792
Ti -0.013 -0.647 5.571
Ti -0.141 -0.235 10.532
Ti 5.128 0.235 2.949
Ti 5.000 0.647 7.910
Ti 2.852 -0.235 9.689
Ti 6.728 0.006 5.482
Ti 4.451 -0.006 12.222
Ti 7.277 -0.647 1.170
Ge 1.355 2.331 10.111
Ge 4.770 0.000 0.000
Ge 2.494 0.000 6.740
Ge 3.632 -2.331 3.370
Ir 0.640 0.755 8.170
Ir 2.071 0.755 12.052
Ir 2.916 -0.755 1.429
Ir 4.347 -0.755 5.311
```

Which is most stable, and by how much? R), by 689 meV/atom.